First-principles (GGA+U) data for a geometry-optimized Cs2CoBiO4 structure, as listed in Alexandria.

abc: 5.874 13.183 23.175
angles: 90.00 90.00 90.00
Space group Fddd (No. 70, origin choice 2)
One atom of each set of equivalent atoms:
1 Cs 0.125 0.125 0.308 [16 per cell]
2 Co 0.125 0.125 0.625 [8 per cell]
3 Bi 0.125 0.125 0.125 [8 per cell]
4 O 0.089 0.285 0.839 [32 per cell]

Final energy (eV per formula unit): -38.81